Entry 1:
First-principles (PBE-GGA) data for Ba2SnHgIr after structural relaxation, as listed in Alexandria.

Values from the calculation:
SG: P4/mmm
Total energy in eV/atom: -3.77

abc: 6.1452 6.1452 5.0938
angles: 90.00 90.00 90.00
Closest atoms and distances in Å follow each position.
Positions (direct):
Sn 0.0000 0.0000 0.5000  2 Ir 2.55
Ba 0.0000 0.5000 0.0000  2 Ir 3.07
Ba 0.5000 0.0000 0.0000  2 Ir 3.07
Ir 0.0000 0.0000 0.0000  2 Sn 2.55
Hg 0.5000 0.5000 0.5000  8 Ba 3.99, 4 Sn 4.35

=====

Entry 2:
First-principles (PBE-GGA) data for Pm2Nd2In3 after structural relaxation, as listed in Alexandria.

Values from the calculation:
Relative energy among the computed polymorphs in meV per atom: 0
SG: C2/m

abc: 4.0048 8.7285 6.2632
angles: 93.09 71.34 90.00
Closest atoms and distances in Å follow each position.
Positions (direct):
Pm 0.2916 0.1614 0.4168  5 In 3.28-3.66, 3 Nd 3.46-3.55, 2 Pm 3.64
Pm 0.7084 0.8386 0.5832  5 In 3.28-3.66, 3 Nd 3.46-3.55, 2 Pm 3.64
In 0.8385 0.4479 0.3229  2 In 3.01, 2 Pm 3.28, 2 Nd 3.28
In 0.0000 0.0000 0.0000  4 Nd 3.38, 4 Pm 3.42
In 0.1615 0.5521 0.6771  2 In 3.01, 2 Pm 3.28, 2 Nd 3.28
Nd 0.4399 0.7034 0.1201  7 In 3.28-3.63, 3 Pm 3.46-3.55
Nd 0.5601 0.2966 0.8799  7 In 3.28-3.63, 3 Pm 3.46-3.55

=====

Entry 3:
First-principles (PBE-GGA) data for SrLiLa2 after structural relaxation, as listed in Alexandria.

Values from the calculation:
Relative energy among the computed polymorphs in meV per atom: 87
SG: Pmmm

abc: 3.9615 5.9061 6.3450
angles: 90.00 90.00 90.00
Closest atoms and distances in Å follow each position.
Positions (direct):
Sr 0.0000 0.5000 0.5000  4 Li 3.56, 4 La 3.74, 2 Sr 3.96
La 0.0000 0.0000 0.0000  6 La 3.56-3.96, 4 Li 3.74
La 0.5000 0.5000 0.0000  6 La 3.56-3.96, 4 Sr 3.74
Li 0.5000 0.0000 0.5000  4 Sr 3.56, 4 La 3.74, 2 Li 3.96

=====

Entry 4:
First-principles (PBE-GGA) data for Y2Cd3Hg after structural relaxation, as listed in Alexandria.

Values from the calculation:
SG: Fmmm
Total energy in eV/atom: -3.03

abc: 6.0489 6.0489 9.2396
angles: 102.58 102.58 109.55
Closest atoms and distances in Å follow each position.
Positions (direct):
Cd 0.8344 0.3318 0.1661  2 Cd 2.84, 1 Hg 2.86
Cd 0.3318 0.8344 0.1661  2 Cd 2.84, 1 Hg 2.86
Cd 0.8342 0.8342 0.6684  2 Cd 2.84, 1 Hg 2.87
Cd 0.1656 0.6682 0.8339  2 Cd 2.84, 1 Hg 2.86
Cd 0.6682 0.1656 0.8339  2 Cd 2.84, 1 Hg 2.86
Cd 0.1658 0.1658 0.3316  2 Cd 2.84, 1 Hg 2.87
Y 0.7482 0.7482 0.0000  2 Hg 3.33, 10 Cd 3.34, 2 Y 3.46-3.51
Y 0.7500 0.2500 0.5000  4 Hg 3.34, 8 Cd 3.35, 2 Y 3.49
Y 0.2518 0.2518 0.0000  2 Hg 3.33, 10 Cd 3.34, 2 Y 3.46-3.51
Y 0.2500 0.7500 0.5000  4 Hg 3.34, 8 Cd 3.35, 2 Y 3.49
Hg 0.6665 0.6665 0.3331  3 Cd 2.86-2.87
Hg 0.3335 0.3335 0.6669  3 Cd 2.86-2.87

=====

These records have total magnetization values of 0.00, 0.00, 0.01, 0.00 μB per atom, in the order they appear.